Entry 1:
A plane-wave DFT calculation with GGA-PBE was carried out for a geometry-optimized BaTlO2 structure.

Output
The calculation puts the energy above the most stable polymorph in this dataset at 0.22 eV per formula unit. The total magnetization is 0.000 μB/f.u.

abc: 4.640 4.640 3.685
angles: 90.00 90.00 90.00
Space group P4/mmm (No. 123)
Asymmetric unit:
Ba 0.000 0.000 0.000 (multiplicity 1)
Tl 0.500 0.500 0.500 (multiplicity 1)
O 0.000 0.500 0.500 (multiplicity 2)

Entry 2:
A plane-wave DFT calculation with GGA-PBE was carried out for a geometry-optimized Rb2ReF6 structure.

Output
The total magnetization is 3.000 μB/f.u. The energy comes out at -96.06 eV per cell.

abc: 6.249 7.991 8.093
angles: 90.00 118.56 90.00
Space group P2_1/c (No. 14)
Asymmetric unit:
Rb 0.181 0.064 0.321 (multiplicity 4)
Re 0.500 0.000 0.000 (multiplicity 2)
F 0.204 0.114 0.980 (multiplicity 4)
F 0.325 0.717 0.446 (multiplicity 4)
F 0.365 0.034 0.725 (multiplicity 4)